DFT (GGA-PBE) results for a relaxed HfIrPdO6 crystal.

Summary:
E = -132.98 eV per cell
Formation energy from raw total energies = -12.7 eV per formula unit

a = 5.1897 Å, b = 5.1897 Å, c = 8.9839 Å
α = 90.00°, β = 90.00°, γ = 120.00°
Closest atoms and distances in Å follow each position.
Fractional positions:
1 Pd 0.0000 0.0000 0.0000  6 O 2.12
2 Pd 0.0000 0.0000 0.5000  6 O 2.12
3 O 0.0110 0.6619 0.8732  1 Ir 2.00, 1 Hf 2.07, 1 Pd 2.12
4 O 0.6509 0.9890 0.8732  1 Ir 2.00, 1 Hf 2.07, 1 Pd 2.12
5 O 0.3491 0.0110 0.1268  1 Ir 2.00, 1 Hf 2.07, 1 Pd 2.12
6 O 0.6619 0.0110 0.3732  1 Ir 2.00, 1 Hf 2.07, 1 Pd 2.12
7 O 0.9890 0.3381 0.1268  1 Ir 2.00, 1 Hf 2.07, 1 Pd 2.12
8 O 0.3381 0.9890 0.6268  1 Ir 2.00, 1 Hf 2.07, 1 Pd 2.12
9 O 0.3381 0.3491 0.8732  1 Ir 2.00, 1 Hf 2.07, 1 Pd 2.12
10 O 0.6509 0.6619 0.6268  1 Ir 2.00, 1 Hf 2.07, 1 Pd 2.12
11 O 0.0110 0.3491 0.6268  1 Ir 2.00, 1 Hf 2.07, 1 Pd 2.12
12 O 0.6619 0.6509 0.1268  1 Ir 2.00, 1 Hf 2.07, 1 Pd 2.12
13 O 0.3491 0.3381 0.3732  1 Ir 2.00, 1 Hf 2.07, 1 Pd 2.12
14 O 0.9890 0.6509 0.3732  1 Ir 2.00, 1 Hf 2.07, 1 Pd 2.12
15 Ir 0.3333 0.6667 0.7500  6 O 2.00
16 Ir 0.6667 0.3333 0.2500  6 O 2.00
17 Hf 0.6667 0.3333 0.7500  6 O 2.07
18 Hf 0.3333 0.6667 0.2500  6 O 2.07